First-principles (GGA+U) data for a relaxed Mg2VF crystal, as listed in the Alexandria database. Values from VASP.

Cell and atoms, written as Quantum ESPRESSO input:
```
&SYSTEM
  ibrav = 0, nat = 4, ntyp = 3
/
ATOMIC_SPECIES
Mg 24.30 Mg.upf
V 50.94 V.upf
F 19.00 F.upf
CELL_PARAMETERS angstrom
0.000 3.419 3.419
3.419 0.000 3.419
3.419 3.419 0.000
ATOMIC_POSITIONS crystal
Mg 0.250 0.250 0.250
Mg 0.750 0.750 0.750
V 0.000 0.000 0.000
F 0.500 0.500 0.500
```

- space group = Fm-3m, No. 225
- relative energy among the computed polymorphs (meV/atom) = 606

---

First-principles (GGA+U) data for a relaxed MnPF6 crystal, as listed in the Alexandria database. Values from VASP.

Cell and atoms, written as Quantum ESPRESSO input:
```
&SYSTEM
  ibrav = 0, nat = 16, ntyp = 3
/
ATOMIC_SPECIES
Mn 54.94 Mn.upf
P 30.97 P.upf
F 19.00 F.upf
CELL_PARAMETERS angstrom
5.304 -4.043 0.000
5.304 4.043 0.000
-5.300 0.000 5.481
ATOMIC_POSITIONS crystal
Mn 0.244 0.244 0.491
Mn 0.756 0.756 0.509
P 0.255 0.260 0.001
P 0.740 0.745 0.999
F 0.036 0.534 0.567
F 0.143 0.506 0.014
F 0.161 0.284 0.182
F 0.351 0.222 0.818
F 0.466 0.964 0.433
F 0.494 0.857 0.986
F 0.524 0.408 0.256
F 0.592 0.476 0.744
F 0.716 0.839 0.818
F 0.778 0.649 0.182
F 0.902 0.011 0.255
F 0.989 0.098 0.745
```

- space group = C2, No. 5

---

Computed values of DFT total energy (unit: Ha/atom) for the preceding records, in sequence: -0.1096 -0.1960.